Record 1
Below is a geometry-optimized Ta2TcGe2 structure, with properties calculated at the PBE-GGA level.

a = 3.891 Å, b = 3.891 Å, c = 11.671 Å
α = 90.00°, β = 90.00°, γ = 90.00°
Space group I4/mmm (No. 139)
Inequivalent atoms, fractional coordinates:
Ta (0.000, 0.500, 0.250) [4 per cell]
Tc (0.000, 0.000, 0.000) [2 per cell]
Ge (0.000, 0.000, 0.403) [4 per cell]

Calculated density: 11.38 Mg/m³
Energy: -8.1338 eV/atom
M_tot: 4.35 Bohr magnetons per cell



Record 2
Below is a geometry-optimized NbCl2 structure, with properties calculated at the PBE-GGA level.

a = 6.139 Å, b = 6.139 Å, c = 6.139 Å
α = 90.00°, β = 90.00°, γ = 90.00°
Space group Fm-3m (No. 225)
Inequivalent atoms, fractional coordinates:
Nb (0.000, 0.000, 0.000) [4 per cell]
Cl (0.250, 0.250, 0.250) [8 per cell]

Calculated density: 4.70 Mg/m³
Energy: -4.9137 eV/atom
M_tot: 7.46 Bohr magnetons per cell



Record 3
Below is a geometry-optimized Cs2PtS6O18F6 structure, with properties calculated at the PBE-GGA level.

a = 8.9671 Å, b = 8.9671 Å, c = 7.1880 Å
α = 90.00°, β = 90.00°, γ = 120.00°
Space group P321 (No. 150)
Inequivalent atoms, fractional coordinates:
Cs (0.3333, 0.6667, 0.3100) [2 per cell]
Pt (0.0000, 0.0000, 0.0000) [1 per cell]
S (0.1517, 0.3541, 0.7587) [6 per cell]
O (0.0125, 0.3467, 0.2818) [6 per cell]
O (0.0421, 0.8524, 0.8141) [6 per cell]
O (0.1497, 0.7051, 0.6363) [6 per cell]
F (0.2093, 0.4584, 0.9512) [6 per cell]

Calculated density: 3.50 Mg/m³
Energy: -5.4546 eV/atom
M_tot: 0.01 Bohr magnetons per cell



Record 4
Below is a geometry-optimized CdPtNO structure, with properties calculated at the PBE-GGA level.

a = 3.514 Å, b = 5.704 Å, c = 5.698 Å
α = 90.00°, β = 90.00°, γ = 90.00°
Space group Pmc2_1 (No. 26)
Inequivalent atoms, fractional coordinates:
Cd (0.000, 0.179, 0.000) [2 per cell]
Pt (0.500, 0.346, 0.487) [2 per cell]
N (0.000, 0.353, 0.360) [2 per cell]
O (0.500, 0.100, 0.752) [2 per cell]

Calculated density: 9.81 Mg/m³
Energy relative to the lowest polymorph listed for this composition: 0.154 eV per atom
M_tot: 0.00 Bohr magnetons per cell